(1)
13
Lattice="5.689 0.000 0.776 0.000 7.730 0.000 -1.389 -3.865 10.158" Properties=species:S:1:pos:R:3 comment="Nd8Y2Ho3 | Alexandria | PBE-GGA | relaxed" m_tot_mub_per_fu=0.0 ef_ev_per_atom=0.201 spacegroup="No. 12" dos_ef_per_ev_fu=18.84 volume_a3_per_fu=455.1 pbc="T T T"
Nd 1.747 1.584 8.409
Nd 1.747 -1.584 8.409
Nd 2.553 5.448 2.525
Nd -0.473 3.865 3.488
Nd -1.024 3.865 7.507
Nd 2.553 2.281 2.525
Nd 4.774 0.000 7.446
Nd 5.325 0.000 3.427
Ho 2.845 0.000 0.388
Ho 0.000 5.525 0.000
Ho 0.000 2.204 0.000
Y 2.127 3.865 5.674
Y 2.174 0.000 5.260

=====

(2)
20
Lattice="3.726 0.000 0.000 0.000 8.173 0.000 0.000 0.000 8.173" Properties=species:S:1:pos:R:3 comment="Ti2GaFe2Co5 | Alexandria | PBE-GGA | relaxed" m_tot_mub_per_fu=7.5 ef_ev_per_atom=-0.132 spacegroup="No. 127" dos_ef_per_ev_fu=11.51 volume_a3_per_fu=124.4 pbc="T T T"
Fe 0.000 7.125 3.038
Fe 0.000 1.048 5.135
Fe 0.000 3.038 1.048
Fe 0.000 5.135 7.125
Co 1.863 7.636 1.661
Co 1.863 4.624 5.748
Co 1.863 6.512 7.636
Co 1.863 3.549 2.426
Co 1.863 0.537 6.512
Co 1.863 0.000 4.087
Co 1.863 4.087 0.000
Co 1.863 1.661 0.537
Co 1.863 2.426 4.624
Co 1.863 5.748 3.549
Ga 0.000 4.087 4.087
Ga 0.000 0.000 0.000
Ti 0.000 5.500 1.414
Ti 0.000 1.414 2.673
Ti 0.000 2.673 6.760
Ti 0.000 6.760 5.500